# TaAuSe2Br

A geometry-optimized TaAuSe2Br structure (PBE-GGA, Alexandria).

Its symmetry is No. 123. The total magnetization comes out at 0.0000 μB per atom. The calculation puts the raw total energy at -4.63 eV per atom.

Cell: 5.017 5.017 5.159 Å, 90.00 90.00 90.00°
Fractional coordinates of all 5 atoms:
Ta  0.000  0.000  0.000
Au  0.500  0.500  0.500
Se  0.000  0.500  0.000
Se  0.500  0.000  0.000
Br  0.000  0.000  0.500